TaTl2Pt | Alexandria via LeMat-Bulk | meta-GGA SCAN | PBEsol geometry; Fermi-level density of states = 5.31 states/eV/cell; volume = 20.54 A^3/atom; calculated formation energy = 0.15 eV per atom; space group = R3m (160); electronic total energy = -70.2208 eV per atom; energy relative to the lowest polymorph listed for this composition = 0.0000 eV per atom
1.0
3.1107 0.0000 0.0000
-1.5553 2.6939 0.0000
0.0000 0.0000 29.4080
Ta Tl Pt
3 6 3
direct
0.0000 0.0000 0.0000
0.3333 0.6667 0.6667
0.6667 0.3333 0.3333
0.0000 0.0000 0.5172
0.0000 0.0000 0.7526
0.3333 0.6667 0.1838
0.3333 0.6667 0.4192
0.6667 0.3333 0.0859
0.6667 0.3333 0.8505
0.0000 0.0000 0.2663
0.3333 0.6667 0.9330
0.6667 0.3333 0.5996

=====

TaTlPt3 | Alexandria via LeMat-Bulk | meta-GGA SCAN | PBEsol geometry; Fermi-level density of states = 4.17 states/eV/cell; volume = 23.27 A^3/atom; calculated formation energy = 0.69 eV per atom; space group = Pm-3m (221); electronic total energy = -69.2131 eV per atom
1.0
4.8816 0.0000 0.0000
0.0000 4.8816 0.0000
0.0000 0.0000 4.8816
Ta Tl Pt
1 1 3
direct
0.0000 0.0000 0.0000
0.5000 0.5000 0.5000
0.0000 0.0000 0.5000
0.0000 0.5000 0.0000
0.5000 0.0000 0.0000

=====

TaTlPt2 | Alexandria via LeMat-Bulk | meta-GGA SCAN | PBEsol geometry; Fermi-level density of states = 3.08 states/eV/cell; volume = 17.59 A^3/atom; calculated formation energy = -0.34 eV per atom; space group = P4/mmm (123); electronic total energy = -70.1759 eV per atom
1.0
2.9364 0.0000 0.0000
0.0000 2.9364 0.0000
0.0000 0.0000 8.1583
Ta Tl Pt
1 1 2
direct
0.0000 0.0000 0.0000
0.0000 0.0000 0.5000
0.5000 0.5000 0.2216
0.5000 0.5000 0.7784

=====

TaTl2Pt | Alexandria via LeMat-Bulk | meta-GGA SCAN | PBEsol geometry; Fermi-level density of states = 10.34 states/eV/cell; volume = 19.24 A^3/atom; calculated formation energy = 0.65 eV per atom; space group = Fm-3m (225); electronic total energy = -69.7275 eV per atom; energy relative to the lowest polymorph listed for this composition = 0.4932 eV per atom
1.0
6.7519 0.0000 0.0000
0.0000 6.7519 0.0000
0.0000 0.0000 6.7519
Ta Tl Pt
4 8 4
direct
0.0000 0.0000 0.0000
0.0000 0.5000 0.5000
0.5000 0.0000 0.5000
0.5000 0.5000 0.0000
0.2500 0.2500 0.2500
0.2500 0.2500 0.7500
0.2500 0.7500 0.2500
0.2500 0.7500 0.7500
0.7500 0.2500 0.2500
0.7500 0.2500 0.7500
0.7500 0.7500 0.2500
0.7500 0.7500 0.7500
0.0000 0.0000 0.5000
0.0000 0.5000 0.0000
0.5000 0.0000 0.0000
0.5000 0.5000 0.5000

=====

Ta2PtW | Alexandria via LeMat-Bulk | meta-GGA SCAN | PBEsol geometry; Fermi-level density of states = 6.33 states/eV/cell; volume = 16.34 A^3/atom; calculated formation energy = -0.24 eV per atom; space group = C2/m (12); electronic total energy = -68.4979 eV per atom
1.0
5.6568 0.0000 0.0000
0.0000 8.8295 0.0000
-0.8078 0.0000 2.6167
Ta Pt W
4 2 2
direct
0.2500 0.2500 0.0000
0.2500 0.7500 0.0000
0.7500 0.2500 0.0000
0.7500 0.7500 0.0000
0.0000 0.0000 0.5000
0.5000 0.5000 0.5000
0.0000 0.5000 0.5000
0.5000 0.0000 0.5000

=====

Ta2PtW | Alexandria via LeMat-Bulk | meta-GGA SCAN | PBEsol geometry; Fermi-level density of states = 12.08 states/eV/cell; volume = 16.58 A^3/atom; calculated formation energy = 0.04 eV per atom; space group = R3m (160); electronic total energy = -68.2185 eV per atom
1.0
2.8172 0.0000 0.0000
-1.4086 2.4398 0.0000
0.0000 0.0000 28.9413
Ta Pt W
6 3 3
direct
0.0000 0.0000 0.0000
0.0000 0.0000 0.2441
0.3333 0.6667 0.6667
0.3333 0.6667 0.9107
0.6667 0.3333 0.3333
0.6667 0.3333 0.5774
0.0000 0.0000 0.4979
0.3333 0.6667 0.1646
0.6667 0.3333 0.8313
0.0000 0.0000 0.7529
0.3333 0.6667 0.4196
0.6667 0.3333 0.0863

=====

TaPt2W | Alexandria via LeMat-Bulk | meta-GGA SCAN | PBEsol geometry; Fermi-level density of states = 1.22 states/eV/cell; volume = 15.43 A^3/atom; calculated formation energy = -0.56 eV per atom; space group = Pmm2 (25); electronic total energy = -69.7293 eV per atom
1.0
2.7526 0.0000 0.0000
0.0000 4.5243 0.0000
0.0000 0.0000 4.9569
Ta Pt W
1 2 1
direct
0.0000 0.0000 0.0000
0.5000 0.0000 0.5041
0.5000 0.5000 0.1663
0.0000 0.5000 0.6579

=====

TaPtW | Alexandria via LeMat-Bulk | meta-GGA SCAN | PBEsol geometry; Fermi-level density of states = 14.23 states/eV/cell; volume = 18.81 A^3/atom; calculated formation energy = 0.37 eV per atom; space group = F-43m (216); electronic total energy = -68.4480 eV per atom
1.0
6.0887 0.0000 0.0000
0.0000 6.0887 0.0000
0.0000 0.0000 6.0887
Ta Pt W
4 4 4
direct
0.0000 0.0000 0.0000
0.0000 0.5000 0.5000
0.5000 0.0000 0.5000
0.5000 0.5000 0.0000
0.2500 0.2500 0.2500
0.2500 0.7500 0.7500
0.7500 0.2500 0.7500
0.7500 0.7500 0.2500
0.0000 0.0000 0.5000
0.0000 0.5000 0.0000
0.5000 0.0000 0.0000
0.5000 0.5000 0.5000

=====

Ta2PtW | Alexandria via LeMat-Bulk | meta-GGA SCAN | PBEsol geometry; Fermi-level density of states = 6.99 states/eV/cell; volume = 16.41 A^3/atom; calculated formation energy = -0.22 eV per atom; space group = I4/mmm (139); electronic total energy = -68.4825 eV per atom
1.0
4.0596 0.0000 0.0000
0.0000 4.0596 0.0000
0.0000 0.0000 7.9683
Ta Pt W
4 2 2
direct
0.0000 0.5000 0.2500
0.0000 0.5000 0.7500
0.5000 0.0000 0.2500
0.5000 0.0000 0.7500
0.0000 0.0000 0.0000
0.5000 0.5000 0.5000
0.0000 0.0000 0.5000
0.5000 0.5000 0.0000

=====

TaPt2W | Alexandria via LeMat-Bulk | meta-GGA SCAN | PBEsol geometry; Fermi-level density of states = 5.31 states/eV/cell; volume = 15.64 A^3/atom; calculated formation energy = -0.26 eV per atom; space group = C2/m (12); electronic total energy = -69.4219 eV per atom
1.0
9.3285 0.0000 0.0000
0.0000 2.8115 0.0000
-0.8482 0.0000 4.7720
Ta Pt W
2 4 2
direct
0.0000 0.0000 0.0000
0.5000 0.5000 0.0000
0.2480 0.0000 0.7459
0.2520 0.5000 0.2541
0.7480 0.5000 0.7459
0.7520 0.0000 0.2541
0.0000 0.5000 0.5000
0.5000 0.0000 0.5000

=====

Ta2PtW | Alexandria via LeMat-Bulk | meta-GGA SCAN | PBEsol geometry; Fermi-level density of states = 18.41 states/eV/cell; volume = 16.36 A^3/atom; calculated formation energy = -0.11 eV per atom; space group = F-43m (216); electronic total energy = -68.3690 eV per atom
1.0
6.3971 0.0000 0.0000
0.0000 6.3971 0.0000
0.0000 0.0000 6.3971
Ta Pt W
8 4 4
direct
0.0000 0.0000 0.0000
0.0000 0.5000 0.5000
0.2500 0.2500 0.2500
0.2500 0.7500 0.7500
0.5000 0.0000 0.5000
0.5000 0.5000 0.0000
0.7500 0.2500 0.7500
0.7500 0.7500 0.2500
0.2500 0.2500 0.7500
0.2500 0.7500 0.2500
0.7500 0.2500 0.2500
0.7500 0.7500 0.7500
0.0000 0.0000 0.5000
0.0000 0.5000 0.0000
0.5000 0.0000 0.0000
0.5000 0.5000 0.5000

=====

TaPt2W | Alexandria via LeMat-Bulk | meta-GGA SCAN | PBEsol geometry; Fermi-level density of states = 5.36 states/eV/cell; volume = 15.43 A^3/atom; calculated formation energy = -0.54 eV per atom; space group = Cmmm (65); electronic total energy = -69.7056 eV per atom
1.0
5.4980 0.0000 0.0000
0.0000 8.1486 0.0000
0.0000 0.0000 2.7558
Ta Pt W
2 4 2
direct
0.0000 0.0000 0.0000
0.5000 0.5000 0.0000
0.2500 0.2500 0.5000
0.2500 0.7500 0.5000
0.7500 0.2500 0.5000
0.7500 0.7500 0.5000
0.0000 0.5000 0.0000
0.5000 0.0000 0.0000

=====

TaPtW2 | Alexandria via LeMat-Bulk | meta-GGA SCAN | PBEsol geometry; Fermi-level density of states = 4.67 states/eV/cell; volume = 15.95 A^3/atom; calculated formation energy = -0.05 eV per atom; space group = Cm (8); electronic total energy = -69.0921 eV per atom
1.0
9.4248 0.0000 0.0000
0.0000 2.7120 0.0000
-0.6969 0.0000 4.9908
Ta Pt W
2 2 4
direct
0.0000 0.0000 0.0000
0.5000 0.5000 0.0000
0.2443 0.5000 0.2350
0.7443 0.0000 0.2350
0.2402 0.0000 0.7289
0.4830 0.0000 0.4941
0.7402 0.5000 0.7289
0.9830 0.5000 0.4941

=====

YTaPt2 | Alexandria via LeMat-Bulk | meta-GGA SCAN | PBEsol geometry; Fermi-level density of states = 3.10 states/eV/cell; volume = 17.91 A^3/atom; calculated formation energy = -0.84 eV per atom; space group = P4/mmm (123); electronic total energy = -59.5388 eV per atom
1.0
4.9723 0.0000 0.0000
0.0000 4.9723 0.0000
0.0000 0.0000 2.8977
Y Ta Pt
1 1 2
direct
0.0000 0.0000 0.0000
0.5000 0.5000 0.0000
0.0000 0.5000 0.5000
0.5000 0.0000 0.5000

=====

YTaPt2 | Alexandria via LeMat-Bulk | meta-GGA SCAN | PBEsol geometry; Fermi-level density of states = 4.73 states/eV/cell; volume = 17.69 A^3/atom; calculated formation energy = -0.68 eV per atom; space group = I-4m2 (119); electronic total energy = -59.3859 eV per atom
1.0
4.0225 0.0000 0.0000
0.0000 4.0225 0.0000
0.0000 0.0000 8.7437
Y Ta Pt
2 2 4
direct
0.0000 0.0000 0.0000
0.5000 0.5000 0.5000
0.0000 0.5000 0.7500
0.5000 0.0000 0.2500
0.0000 0.0000 0.5000
0.0000 0.5000 0.2500
0.5000 0.0000 0.7500
0.5000 0.5000 0.0000

=====

Y2TaPt | Alexandria via LeMat-Bulk | meta-GGA SCAN | PBEsol geometry; Fermi-level density of states = 3.13 states/eV/cell; volume = 22.92 A^3/atom; calculated formation energy = -0.41 eV per atom; space group = P4mm (99); electronic total energy = -48.5219 eV per atom; energy relative to the lowest polymorph listed for this composition = 0.0000 eV per atom
1.0
3.2592 0.0000 0.0000
0.0000 3.2592 0.0000
0.0000 0.0000 8.6303
Y Ta Pt
2 1 1
direct
0.0000 0.0000 0.0000
0.5000 0.5000 0.3565
0.5000 0.5000 0.7529
0.0000 0.0000 0.5911